This record from the Alexandria database describes an optimized crystal structure of CaSn2TeCl. The functional is PBE.

POSCAR file:
```
CaSn2TeCl
1.0
6.0664 0.0000 0.0000
0.0000 5.5712 0.0000
0.0000 0.0000 6.0664
Sn Te Cl Ca
2 1 1 1
Direct
0.0000 0.0000 0.5000 Sn
0.5000 0.0000 0.0000 Sn
0.0000 0.5000 0.0000 Te
0.5000 0.5000 0.5000 Cl
0.0000 0.0000 0.0000 Ca
```

E = -2.768 eV/atom
formation energy without anion corrections = 0.231 eV/atom